(1)
DFT (GGA-PBE) results for Dy5Er6Mg2 after structural relaxation.

Output
Formation enthalpy at 0 K in eV/atom: 0.14

```
data_Dy5Er6Mg2
_chemical_formula_sum 'Dy10 Er12 Mg4'
_space_group_name_H-M_alt 'P b a m'
_space_group_IT_number 55
_cell_length_a 10.258
_cell_length_b 22.267
_cell_length_c 3.527
_cell_angle_alpha 90.00
_cell_angle_beta 90.00
_cell_angle_gamma 90.00
loop_
_space_group_symop_operation_xyz
'x,y,z'
'-x,-y,-z'
'-x,-y,z'
'x,y,-z'
'x+1/2,-y+1/2,-z'
'-x+1/2,y+1/2,z'
'-x+1/2,y+1/2,-z'
'x+1/2,-y+1/2,z'
loop_
_atom_site_label
_atom_site_fract_x
_atom_site_fract_y
_atom_site_fract_z
Dy1 0.000 0.000 0.000
Dy2 0.078 0.252 0.000
Dy3 0.166 0.506 0.000
Er1 0.021 0.387 0.500
Er2 0.143 0.118 0.500
Er3 0.168 0.866 0.000
Mg1 0.172 0.739 0.500
```

(2)
DFT (GGA-PBE) results for Dy3ErMg6 after structural relaxation.

Output
Formation enthalpy at 0 K in eV/atom: -0.06

```
data_Dy3ErMg6
_chemical_formula_sum 'Dy6 Er2 Mg12'
_space_group_name_H-M_alt 'P 1 21/m 1'
_space_group_IT_number 11
_cell_length_a 9.247
_cell_length_b 5.258
_cell_length_c 11.224
_cell_angle_alpha 90.00
_cell_angle_beta 105.54
_cell_angle_gamma 90.00
loop_
_space_group_symop_operation_xyz
'x,y,z'
'-x,-y,-z'
'-x,y+1/2,-z'
'x,-y+1/2,z'
loop_
_atom_site_label
_atom_site_fract_x
_atom_site_fract_y
_atom_site_fract_z
Dy1 0.043 0.250 0.397
Dy2 0.148 0.750 0.205
Dy3 0.249 0.250 0.005
Er1 0.450 0.250 0.600
Mg1 0.058 0.750 0.899
Mg2 0.163 0.250 0.707
Mg3 0.257 0.750 0.509
Mg4 0.355 0.750 0.806
Mg5 0.357 0.250 0.303
Mg6 0.454 0.750 0.101
```

(3)
DFT (GGA-PBE) results for Dy6Er12Mg after structural relaxation.

Output
Formation enthalpy at 0 K in eV/atom: 0.14
Energy above the lowest structure with this stoichiometry in meV per atom: 0

```
data_Dy6Er12Mg
_chemical_formula_sum 'Dy18 Er36 Mg3'
_space_group_name_H-M_alt 'R -3'
_space_group_IT_number 148
_space_group_name_Hall '-R 3'
_cell_length_a 11.7361
_cell_length_b 11.7361
_cell_length_c 14.9076
_cell_angle_alpha 90.00
_cell_angle_beta 90.00
_cell_angle_gamma 120.00
loop_
_atom_site_label
_atom_site_fract_x
_atom_site_fract_y
_atom_site_fract_z
Dy1 0.0163 0.5909 0.1864
Er1 0.0008 0.8254 0.3123
Er2 0.0454 0.1943 0.9155
Mg1 0.0000 0.0000 0.5000
```

(4)
DFT (GGA-PBE) results for Dy2Er2Mg3 after structural relaxation.

Output
Formation enthalpy at 0 K in eV/atom: 0.04
Energy above the lowest structure with this stoichiometry in meV per atom: 0

```
data_Dy2Er2Mg3
_chemical_formula_sum 'Dy2 Er2 Mg3'
_space_group_name_H-M_alt 'P -1'
_space_group_IT_number 2
_cell_length_a 3.491
_cell_length_b 7.101
_cell_length_c 8.941
_cell_angle_alpha 68.36
_cell_angle_beta 78.85
_cell_angle_gamma 75.86
loop_
_space_group_symop_operation_xyz
'x,y,z'
'-x,-y,-z'
loop_
_atom_site_label
_atom_site_fract_x
_atom_site_fract_y
_atom_site_fract_z
Dy1 0.106 0.238 0.046
Er1 0.370 0.443 0.315
Mg1 0.000 0.000 0.500
Mg2 0.324 0.149 0.709
```

(5)
DFT (GGA-PBE) results for DyErMg17 after structural relaxation.

Output
Formation enthalpy at 0 K in eV/atom: -0.01

```
data_DyErMg17
_chemical_formula_sum 'Dy3 Er3 Mg51'
_space_group_name_H-M_alt 'R 3 m'
_space_group_IT_number 160
_space_group_name_Hall 'R 3 -2"'
_cell_length_a 10.1990
_cell_length_b 10.1990
_cell_length_c 15.2279
_cell_angle_alpha 90.00
_cell_angle_beta 90.00
_cell_angle_gamma 120.00
loop_
_atom_site_label
_atom_site_fract_x
_atom_site_fract_y
_atom_site_fract_z
Dy1 0.0000 0.0000 0.0000
Er1 0.0000 0.0000 0.3438
Mg1 0.0000 0.0000 0.5718
Mg2 0.0000 0.0000 0.7706
Mg3 0.0076 0.5038 0.8228
Mg4 0.0283 0.3611 0.3385
Mg5 0.1677 0.3354 0.5056
Mg6 0.1720 0.3440 0.8538
```

(6)
DFT (GGA-PBE) results for Dy2ErMg after structural relaxation.

Output
Formation enthalpy at 0 K in eV/atom: 0.04
Energy above the lowest structure with this stoichiometry in meV per atom: 73

```
data_Dy2ErMg
_chemical_formula_sum 'Dy8 Er4 Mg4'
_space_group_name_H-M_alt 'F m -3 m'
_space_group_IT_number 225
_space_group_name_Hall '-F 4 2 3'
_cell_length_a 7.744
_cell_length_b 7.744
_cell_length_c 7.744
_cell_angle_alpha 90.00
_cell_angle_beta 90.00
_cell_angle_gamma 90.00
loop_
_atom_site_label
_atom_site_fract_x
_atom_site_fract_y
_atom_site_fract_z
Dy1 0.250 0.250 0.250
Er1 0.000 0.000 0.000
Mg1 0.000 0.000 0.500
```

(7)
DFT (GGA-PBE) results for Dy4Er8Mg after structural relaxation.

Output
Formation enthalpy at 0 K in eV/atom: 0.20

```
data_Dy4Er8Mg
_chemical_formula_sum 'Dy12 Er24 Mg3'
_space_group_name_H-M_alt 'R -3 m'
_space_group_IT_number 166
_space_group_name_Hall '-R 3 2"'
_cell_length_a 7.0766
_cell_length_b 7.0766
_cell_length_c 28.2919
_cell_angle_alpha 90.00
_cell_angle_beta 90.00
_cell_angle_gamma 120.00
loop_
_atom_site_label
_atom_site_fract_x
_atom_site_fract_y
_atom_site_fract_z
Dy1 0.0000 0.0000 0.0000
Dy2 0.0000 0.5000 0.0000
Er1 0.0000 0.0000 0.2119
Er2 0.0194 0.5097 0.7637
Mg1 0.0000 0.0000 0.5000
```

(8)
DFT (GGA-PBE) results for Dy3Er6Mg after structural relaxation.

Output
Formation enthalpy at 0 K in eV/atom: 0.13
Energy above the lowest structure with this stoichiometry in meV per atom: 111

```
data_Dy3Er6Mg
_chemical_formula_sum 'Dy12 Er24 Mg4'
_space_group_name_H-M_alt 'C m c 21'
_space_group_IT_number 36
_cell_length_a 9.233
_cell_length_b 14.884
_cell_length_c 8.895
_cell_angle_alpha 90.00
_cell_angle_beta 90.00
_cell_angle_gamma 90.00
loop_
_space_group_symop_operation_xyz
'x,y,z'
'-x,-y,z+1/2'
'-x,y,z'
'x,-y,z+1/2'
'x+1/2,y+1/2,z'
'-x+1/2,-y+1/2,z+1/2'
'-x+1/2,y+1/2,z'
'x+1/2,-y+1/2,z+1/2'
loop_
_atom_site_label
_atom_site_fract_x
_atom_site_fract_y
_atom_site_fract_z
Dy1 0.000 0.039 0.000
Dy2 0.177 0.355 0.484
Er1 0.000 0.208 0.261
Er2 0.000 0.438 0.133
Er3 0.175 0.152 0.648
Er4 0.223 0.434 0.818
Mg1 0.000 0.267 0.903
```

no.,E (eV per atom)
1,-3.98
2,-2.85
3,-4.28
4,-3.26
5,-1.91
6,-3.80
7,-4.15
8,-4.15